Record 1
A plane-wave DFT calculation with PBE-GGA was carried out for crystalline KCu2Cl at its relaxed geometry.

Summary:
The uncorrected formation energy comes out at 0.424 eV/atom. The uncorrected energy is -9.44 eV/cell. Its polymorph energy (0 for the lowest one) is 0.705 eV/atom. The density of states at the Fermi level comes out at 0.510 states/eV/atom. Its theoretical density is 3.67 g/cm³. As for the crystal system: orthorhombic. Its space-group type is Cmmm (65).

a = 3.378 Å, b = 3.378 Å, c = 9.319 Å
α = 90.00°, β = 90.00°, γ = 121.05°
Fractional coordinates of all 4 atoms:
K 0.000 0.000 0.000
Cu 0.500 0.500 0.304
Cu 0.500 0.500 0.696
Cl 0.000 0.000 0.500

Record 2
A plane-wave DFT calculation with PBE-GGA was carried out for crystalline K3Cu2Cl4 at its relaxed geometry.

Summary:
The uncorrected formation energy comes out at -1.151 eV/atom. The uncorrected energy is -58.45 eV/cell. The density of states at the Fermi level comes out at 0.353 states/eV/atom. Its theoretical density is 2.39 g/cm³. As for the crystal system: monoclinic. Its space-group type is C2/c (15).

a = 8.509 Å, b = 8.509 Å, c = 8.476 Å
α = 90.21°, β = 90.21°, γ = 60.87°
Fractional coordinates of all 18 atoms:
K 0.015 0.985 0.750
K 0.270 0.430 0.347
K 0.430 0.270 0.847
K 0.570 0.730 0.153
K 0.730 0.570 0.653
K 0.985 0.015 0.250
Cu 0.003 0.358 0.018
Cu 0.358 0.003 0.518
Cu 0.642 0.997 0.482
Cu 0.997 0.642 0.982
Cl 0.138 0.263 0.625
Cl 0.242 0.682 0.013
Cl 0.263 0.138 0.125
Cl 0.318 0.758 0.487
Cl 0.682 0.242 0.513
Cl 0.737 0.862 0.875
Cl 0.758 0.318 0.987
Cl 0.862 0.737 0.375

Record 3
A plane-wave DFT calculation with PBE-GGA was carried out for crystalline KCu2Cl at its relaxed geometry.

Summary:
The uncorrected formation energy comes out at -0.187 eV/atom. The uncorrected energy is -11.88 eV/cell. Its polymorph energy (0 for the lowest one) is 0.094 eV/atom. The density of states at the Fermi level comes out at 0.216 states/eV/atom. Its theoretical density is 3.55 g/cm³. As for the crystal system: monoclinic. Its space-group type is Cm (8).

a = 4.188 Å, b = 4.188 Å, c = 7.470 Å
α = 110.35°, β = 110.35°, γ = 51.35°
Fractional coordinates of all 4 atoms:
K 0.000 0.000 0.000
Cu 0.563 0.563 0.456
Cu 0.832 0.832 0.346
Cl 0.196 0.196 0.716

Record 4
A plane-wave DFT calculation with PBE-GGA was carried out for crystalline K3CuCl5 at its relaxed geometry.

Summary:
The uncorrected formation energy comes out at -1.444 eV/atom. The uncorrected energy is -59.24 eV/cell. The density of states at the Fermi level comes out at 0.766 states/eV/atom. Its theoretical density is 2.28 g/cm³. As for the crystal system: tetragonal. Its space-group type is I4/mcm (140).

a = 9.346 Å, b = 9.346 Å, c = 9.346 Å
α = 125.53°, β = 125.53°, γ = 80.66°
Fractional coordinates of all 18 atoms:
K 0.163 0.663 0.826
K 0.250 0.250 0.000
K 0.337 0.163 0.500
K 0.663 0.837 0.500
K 0.750 0.750 0.000
K 0.837 0.337 0.174
Cu 0.250 0.750 0.500
Cu 0.750 0.250 0.500
Cl 0.000 0.000 0.000
Cl 0.005 0.790 0.500
Cl 0.210 0.710 0.215
Cl 0.290 0.505 0.500
Cl 0.495 0.995 0.785
Cl 0.500 0.500 0.000
Cl 0.505 0.005 0.215
Cl 0.710 0.495 0.500
Cl 0.790 0.290 0.785
Cl 0.995 0.210 0.500

Record 5
A plane-wave DFT calculation with PBE-GGA was carried out for crystalline K4CuCl5 at its relaxed geometry.

Summary:
The uncorrected formation energy comes out at -1.570 eV/atom. The uncorrected energy is -33.42 eV/cell. The density of states at the Fermi level comes out at 0.000 states/eV/atom. Its theoretical density is 2.25 g/cm³. As for the crystal system: tetragonal. Its space-group type is I4 (79).

a = 7.504 Å, b = 7.504 Å, c = 7.504 Å
α = 100.32°, β = 100.32°, γ = 129.92°
Fractional coordinates of all 10 atoms:
K 0.095 0.703 0.798
K 0.297 0.095 0.393
K 0.703 0.905 0.607
K 0.905 0.297 0.202
Cu 0.425 0.425 0.000
Cl 0.064 0.064 0.000
Cl 0.238 0.418 0.648
Cl 0.418 0.770 0.181
Cl 0.589 0.238 0.819
Cl 0.770 0.589 0.352

Record 6
A plane-wave DFT calculation with PBE-GGA was carried out for crystalline KCu2Cl at its relaxed geometry.

Summary:
The uncorrected formation energy comes out at -0.281 eV/atom. The uncorrected energy is -12.26 eV/cell. Its polymorph energy (0 for the lowest one) is 0.000 eV/atom. The density of states at the Fermi level comes out at 0.095 states/eV/atom. Its theoretical density is 3.95 g/cm³. As for the crystal system: monoclinic. Its space-group type is Pm (6).

a = 3.527 Å, b = 3.404 Å, c = 7.280 Å
α = 90.00°, β = 103.88°, γ = 90.00°
Fractional coordinates of all 4 atoms:
K 0.000 0.000 0.000
Cu 0.229 0.000 0.463
Cu 0.687 0.500 0.375
Cl 0.378 0.500 0.753